Record 1
Compound: Tl3Te
Source: Alexandria
Functional: SCAN
Structure: PBEsol geometry

abc: 6.7845 16.9341 6.2092
angles: 90.00 90.00 90.00
Space group Pmmn (No. 59, origin choice 2)
Symmetry-distinct sites (fractional):
Tl 0.0024 0.2500 0.0347
Tl 0.0026 0.0818 0.3375
Tl 0.2500 0.0821 0.8429
Tl 0.2500 0.7500 0.4647
Te 0.2500 0.2500 0.5649
Te 0.2500 0.5865 0.1619

## Properties
Density of states at the Fermi level = 7.8 states/eV per cell
DFT total energy = -255.0 eV per formula unit
Formation energy (no corrections) = -0.1626 eV/atom

Record 2
Compound: ZrBeZn2
Source: Alexandria
Functional: SCAN
Structure: PBEsol geometry

abc: 5.4366 8.7009 2.5797
angles: 90.00 90.00 90.00
Space group Cmmm (No. 65)
Symmetry-distinct sites (fractional):
Zr 0.0000 0.0000 0.0000
Be 0.0000 0.5000 0.0000
Zn 0.2500 0.2500 0.5000

## Properties
Density of states at the Fermi level = 3.1 states/eV per cell
DFT total energy = -61.5 eV per formula unit
Formation energy = 0.5 eV/f.u.

Record 3
Compound: MgAgC2I
Source: Alexandria
Functional: SCAN
Structure: PBEsol geometry

abc: 4.1741 4.1741 6.0899
angles: 90.00 90.00 90.00
Space group P4/mmm (No. 123)
Symmetry-distinct sites (fractional):
Mg 0.0000 0.0000 0.0000
Ag 0.5000 0.5000 0.5000
C 0.0000 0.5000 0.0000
I 0.0000 0.0000 0.5000

## Properties
Density of states at the Fermi level = 1.4 states/eV per cell
DFT total energy = -83.4 eV per formula unit
Formation energy (no corrections) = 1.9852 eV/atom

Record 4
Compound: KMnW2
Source: Alexandria
Functional: SCAN
Structure: PBEsol geometry

abc: 9.0016 2.9540 7.0256
angles: 90.00 95.84 90.00
Space group Cm (No. 8)
Symmetry-distinct sites (fractional):
K 0.0000 0.0000 0.0000
Mn 0.2361 0.0000 0.6102
W 0.0158 0.5000 0.5266
W 0.2793 0.5000 0.3813

## Properties
Density of states at the Fermi level = 5.7 states/eV per cell
DFT total energy = -161.3 eV per formula unit
Formation energy = 4.7 eV/f.u.

Record 5
Compound: YInIr2
Source: Alexandria
Functional: SCAN
Structure: PBEsol geometry

abc: 3.9564 3.9564 9.0502
angles: 90.00 90.00 90.00
Space group I-4m2 (No. 119)
Symmetry-distinct sites (fractional):
Y 0.0000 0.0000 0.0000
In 0.0000 0.5000 0.7500
Ir 0.0000 0.0000 0.5000
Ir 0.0000 0.5000 0.2500

## Properties
Density of states at the Fermi level = 3.7 states/eV per cell
DFT total energy = -205.1 eV per formula unit
Formation energy = -1.7 eV/f.u.

Record 6
Compound: KYMn2
Source: Alexandria
Functional: SCAN
Structure: PBEsol geometry

abc: 11.1602 3.0420 5.7855
angles: 90.00 104.71 90.00
Space group Cm (No. 8)
Symmetry-distinct sites (fractional):
K 0.0000 0.0000 0.0000
Y 0.1977 0.0000 0.6100
Mn 0.2709 0.5000 0.2169
Mn 0.4426 0.0000 0.4698

## Properties
Density of states at the Fermi level = 7.8 states/eV per cell
DFT total energy = -70.7 eV per formula unit
Formation energy = 2.0 eV/f.u.

Record 7
Compound: NbSiPd2F
Source: Alexandria
Functional: SCAN
Structure: PBEsol geometry

abc: 4.3502 4.3502 4.8935
angles: 90.00 90.00 90.00
Space group P4/mmm (No. 123)
Symmetry-distinct sites (fractional):
Nb 0.0000 0.0000 0.0000
Si 0.0000 0.0000 0.5000
Pd 0.0000 0.5000 0.5000
F 0.5000 0.5000 0.0000

## Properties
Density of states at the Fermi level = 2.5 states/eV per cell
DFT total energy = -111.5 eV per formula unit
Formation energy (no corrections) = 0.1505 eV/atom

Record 8
Compound: Li2NiW2O8
Source: Alexandria
Functional: SCAN
Structure: PBEsol geometry

abc: 4.8832 5.5407 5.7935
angles: 108.84 91.32 115.39
Space group P-1 (No. 2)
Symmetry-distinct sites (fractional):
Li 0.0364 0.0712 0.2452
Ni 0.5000 0.0000 0.5000
W 0.2587 0.5296 0.8318
O 0.0386 0.7272 0.9606
O 0.0433 0.7636 0.4260
O 0.4544 0.2773 0.8285
O 0.4926 0.2453 0.3150

## Properties
Density of states at the Fermi level = 0.0 states/eV per cell
DFT total energy = -239.0 eV per formula unit
Formation energy (no corrections) = -2.2203 eV/atom

Record 9
Compound: GeBi2Au2
Source: Alexandria
Functional: SCAN
Structure: PBEsol geometry

abc: 3.8171 3.8171 16.2748
angles: 90.00 90.00 90.00
Space group I4/mmm (No. 139)
Symmetry-distinct sites (fractional):
Ge 0.0000 0.0000 0.0000
Bi 0.0000 0.0000 0.3968
Au 0.0000 0.5000 0.2500

## Properties
Density of states at the Fermi level = 3.9 states/eV per cell
DFT total energy = -313.7 eV per formula unit
Formation energy = 0.9 eV/f.u.

Record 10
Compound: MgIrRh2
Source: Alexandria
Functional: SCAN
Structure: PBEsol geometry

abc: 2.7400 3.8016 5.4617
angles: 90.00 90.00 90.00
Space group Pmmm (No. 47)
Symmetry-distinct sites (fractional):
Mg 0.0000 0.0000 0.0000
Ir 0.0000 0.0000 0.5000
Rh 0.5000 0.5000 0.2593

## Properties
Density of states at the Fermi level = 3.4 states/eV per cell
DFT total energy = -144.5 eV per formula unit
Formation energy = -0.8 eV/f.u.

Record 11
Compound: InAu
Source: Alexandria
Functional: SCAN
Structure: PBEsol geometry

abc: 10.2510 3.5500 7.6821
angles: 90.00 119.58 90.00
Space group Cm (No. 8)
Symmetry-distinct sites (fractional):
In 0.0000 0.0000 0.0000
In 0.1016 0.5000 0.7193
In 0.2580 0.5000 0.3688
Au 0.0285 0.0000 0.3757
Au 0.2947 0.0000 0.0738
Au 0.3201 0.0000 0.6971

## Properties
Density of states at the Fermi level = 3.8 states/eV per cell
DFT total energy = -103.0 eV per formula unit
Formation energy = -0.4 eV/f.u.

Record 12
Compound: PtRhN3
Source: Alexandria
Functional: SCAN
Structure: PBEsol geometry

abc: 3.8101 3.8101 3.8101
angles: 90.00 90.00 90.00
Space group Pm-3m (No. 221)
Symmetry-distinct sites (fractional):
Pt 0.0000 0.0000 0.0000
Rh 0.5000 0.5000 0.5000
N 0.0000 0.5000 0.5000

## Properties
Density of states at the Fermi level = 4.3 states/eV per cell
DFT total energy = -122.1 eV per formula unit
Formation energy (no corrections) = 1.9527 eV/atom

Record 13
Compound: SiHg2Sb
Source: Alexandria
Functional: SCAN
Structure: PBEsol geometry

abc: 6.7968 3.9271 7.5114
angles: 90.00 107.20 90.00
Space group Cm (No. 8)
Symmetry-distinct sites (fractional):
Si 0.0000 0.0000 0.0000
Hg 0.0028 0.5000 0.5053
Hg 0.2449 0.5000 0.2334
Sb 0.2710 0.0000 0.8072

## Properties
Density of states at the Fermi level = 2.4 states/eV per cell
DFT total energy = -182.8 eV per formula unit
Formation energy (no corrections) = 0.1911 eV/atom

Record 14
Compound: K2LaMnGa
Source: Alexandria
Functional: SCAN
Structure: PBEsol geometry

abc: 5.9417 5.9417 5.2919
angles: 90.00 90.00 90.00
Space group P4/mmm (No. 123)
Symmetry-distinct sites (fractional):
K 0.0000 0.5000 0.0000
La 0.0000 0.0000 0.5000
Mn 0.0000 0.0000 0.0000
Ga 0.5000 0.5000 0.5000

## Properties
Density of states at the Fermi level = 3.9 states/eV per cell
DFT total energy = -90.7 eV per formula unit
Formation energy = 3.7 eV/f.u.

Record 15
Compound: NaSr3LaTi5O15
Source: Alexandria
Functional: SCAN
Structure: PBEsol geometry

abc: 5.4649 5.4649 39.0678
angles: 90.00 90.00 90.00
Space group I-42m (No. 121)
Symmetry-distinct sites (fractional):
Na 0.0000 0.0000 0.2001
Sr 0.0000 0.0000 0.0000
Sr 0.0000 0.0000 0.1006
Sr 0.0000 0.0000 0.3999
Sr 0.0000 0.0000 0.5000
La 0.0000 0.0000 0.2996
Ti 0.0000 0.5000 0.0503
Ti 0.0000 0.5000 0.1509
Ti 0.0000 0.5000 0.2500
O 0.0000 0.5000 0.0000
O 0.0000 0.5000 0.1006
O 0.0000 0.5000 0.2005
O 0.2038 0.2038 0.7493
O 0.2081 0.2081 0.3484
O 0.2191 0.2191 0.1507
O 0.2228 0.2228 0.5501
O 0.2226 0.2226 0.9496

## Properties
Density of states at the Fermi level = 0.0 states/eV per cell
DFT total energy = -373.0 eV per formula unit
Formation energy (no corrections) = -3.4106 eV/atom

Record 16
Compound: LiYRh4
Source: Alexandria
Functional: SCAN
Structure: PBEsol geometry

abc: 7.2937 7.2937 7.2937
angles: 90.00 90.00 90.00
Space group F-43m (No. 216)
Symmetry-distinct sites (fractional):
Li 0.0000 0.0000 0.0000
Y 0.2500 0.2500 0.2500
Rh 0.1254 0.1254 0.6254

## Properties
Density of states at the Fermi level = 21.4 states/eV per cell
DFT total energy = -168.2 eV per formula unit
Formation energy = -2.9 eV/f.u.

Record 17
Compound: NaZr2NbTe
Source: Alexandria
Functional: SCAN
Structure: PBEsol geometry

abc: 5.3144 5.3144 5.0516
angles: 90.00 90.00 90.00
Space group P4/mmm (No. 123)
Symmetry-distinct sites (fractional):
Na 0.0000 0.0000 0.0000
Zr 0.0000 0.5000 0.5000
Nb 0.5000 0.5000 0.0000
Te 0.5000 0.5000 0.5000

## Properties
Density of states at the Fermi level = 3.4 states/eV per cell
DFT total energy = -131.8 eV per formula unit
Formation energy (no corrections) = 0.8411 eV/atom

Record 18
Compound: Co2SiHg
Source: Alexandria
Functional: SCAN
Structure: PBEsol geometry

abc: 6.5016 6.5016 5.2350
angles: 90.00 90.00 90.00
Space group I-42d (No. 122)
Symmetry-distinct sites (fractional):
Co 0.2004 0.7500 0.1250
Si 0.0000 0.0000 0.0000
Hg 0.0000 0.0000 0.5000

## Properties
Density of states at the Fermi level = 11.2 states/eV per cell
DFT total energy = -110.9 eV per formula unit
Formation energy (no corrections) = 0.4604 eV/atom

Record 19
Compound: TlGaRhF2
Source: Alexandria
Functional: SCAN
Structure: PBEsol geometry

abc: 4.1029 4.1029 5.3865
angles: 90.00 90.00 90.00
Space group P4/mmm (No. 123)
Symmetry-distinct sites (fractional):
Tl 0.0000 0.0000 0.0000
Ga 0.5000 0.5000 0.0000
Rh 0.0000 0.0000 0.5000
F 0.0000 0.5000 0.5000

## Properties
Density of states at the Fermi level = 1.4 states/eV per cell
DFT total energy = -133.3 eV per formula unit
Formation energy (no corrections) = -0.7395 eV/atom

Record 20
Compound: HfIn2Os
Source: Alexandria
Functional: SCAN
Structure: PBEsol geometry

abc: 6.6138 6.6138 6.6138
angles: 90.00 90.00 90.00
Space group Fm-3m (No. 225)
Symmetry-distinct sites (fractional):
Hf 0.0000 0.0000 0.0000
In 0.2500 0.2500 0.2500
Os 0.0000 0.0000 0.5000

## Properties
Density of states at the Fermi level = 5.4 states/eV per cell
DFT total energy = -200.8 eV per formula unit
Formation energy = 0.6 eV/f.u.